1.
Density functional theory data (PBE-GGA) for an optimized crystal structure of Tb2PmBi.

a = 4.074 Å, b = 4.074 Å, c = 7.438 Å
α = 90.00°, β = 90.00°, γ = 90.00°
Fractional coordinates of all 4 atoms:
Tb  0.000  0.000  0.725
Tb  0.000  0.000  0.275
Bi  0.500  0.500  0.500
Pm  0.500  0.500  0.000

Energy of formation from the pure elements ... -33.9 kJ/mol of atoms
Total magnetic moment ... 0.0 μB/f.u.



2.
Density functional theory data (PBE-GGA) for an optimized crystal structure of MgTaF3.

a = 4.321 Å, b = 4.321 Å, c = 4.321 Å
α = 90.00°, β = 90.00°, γ = 90.00°
Site moments in Bohr magnetons follow the coordinates.
Fractional coordinates of all 5 atoms:
Mg  0.500  0.500  0.500  -0.01
F  0.000  0.500  0.000  0.04
F  0.000  0.000  0.500  0.00
F  0.500  0.000  0.000  0.08
Ta  0.000  0.000  0.000  1.62

Total magnetic moment ... 2.2 μB/f.u.
Formation energy without anion corrections ... -1542 meV per atom



3.
Density functional theory data (PBE-GGA) for an optimized crystal structure of AcNd2DyTm5.

a = 8.801 Å, b = 8.801 Å, c = 9.925 Å
α = 116.32°, β = 116.32°, γ = 90.00°
Fractional coordinates of all 18 atoms:
Ac  0.250  0.250  0.500
Ac  0.750  0.750  0.500
Nd  0.117  0.383  0.000
Nd  0.617  0.117  0.000
Nd  0.383  0.883  0.000
Nd  0.883  0.617  0.000
Dy  0.250  0.750  0.500
Dy  0.750  0.250  0.500
Tm  0.926  0.426  0.266
Tm  0.659  0.159  0.734
Tm  0.074  0.574  0.734
Tm  0.159  0.074  0.734
Tm  0.574  0.659  0.734
Tm  0.841  0.926  0.266
Tm  0.426  0.341  0.266
Tm  0.341  0.841  0.266
Tm  0.500  0.500  0.000
Tm  0.000  0.000  0.000

Energy of formation from the pure elements ... 25.1 kJ/mol of atoms
Total magnetic moment ... 0.0 μB/f.u.



4.
Density functional theory data (PBE-GGA) for an optimized crystal structure of AcPH.

a = 4.404 Å, b = 4.404 Å, c = 4.404 Å
α = 60.00°, β = 60.00°, γ = 60.00°
Fractional coordinates of all 3 atoms:
P  0.500  0.500  0.500
Ac  0.000  0.000  0.000
H  0.250  0.250  0.250

Total magnetic moment ... 0.0 μB/f.u.
Total energy ... -14.88 eV per formula unit



Question: Which of these has the highest total magnetic moment?
Answer: MgTaF3



Question: Which value of total magnetic moment does entry 4 give?
Answer: 0.0 μB/f.u.